Tb4CeMg3: optimized geometry, GGA-PBE.

Its raw total energy is -29.5 eV per cell. Its density of states at the Fermi level is 11.67 states/eV/f.u. For the formation energy, the calculation gives -0.0309 eV/atom.

The space group is P4/mmm (No. 123) and the conventional cell measures 3.6644, 3.6644 and 16.8282 Å, with angles of 90.00, 90.00 and 90.00 degrees. Symmetry generates all atoms from Tb at (0.0000, 0.0000, 0.1157), Tb at (0.0000, 0.0000, 0.3624), Ce at (0.5000, 0.5000, 0.5000), Mg at (0.5000, 0.5000, 0.0000) and Mg at (0.5000, 0.5000, 0.2383).